## BeCrPt (PBE)

Data for a relaxed structure of BeCrPt.

Cell: 3.3511 6.2743 3.3477 Å, 90.00 90.00 90.00°
Positions (direct):
Pt 0.7341 0.6007 0.8493
Pt 0.2341 0.9158 0.3493
Be 0.7341 0.9688 0.8494
Be 0.2341 0.5477 0.3494
Cr 0.7341 0.2582 0.3490
Cr 0.2341 0.2582 0.8490

Summary:
**Mass density**: 12.08 g/cm³
**Energy relative to the elements**: -332 meV per atom

***

## Be2CrPt2 (PBE)

Data for a relaxed structure of Be2CrPt2.

Cell: 6.8423 6.8423 2.6519 Å, 90.00 90.00 90.00°
Positions (direct):
Cr 0.0000 0.0000 0.0000
Cr 0.5000 0.5000 0.0000
Pt 0.3556 0.8556 0.0000
Pt 0.6444 0.1444 0.0000
Pt 0.1444 0.3556 0.0000
Pt 0.8556 0.6444 0.0000
Be 0.3446 0.1554 0.5000
Be 0.6554 0.8446 0.5000
Be 0.1554 0.6554 0.5000
Be 0.8446 0.3446 0.5000

Summary:
**Mass density**: 12.31 g/cm³
**Energy relative to the elements**: -206 meV per atom

***

## BeCrPt (PBE)

Data for a relaxed structure of BeCrPt.

Cell: 2.8769 6.4629 3.8481 Å, 90.00 90.00 77.07°
Positions (direct):
Be 0.4971 0.9208 0.6657
Be 0.6542 0.5958 0.1656
Pt 0.9932 0.9248 0.1661
Pt 0.1581 0.5916 0.6659
Cr 0.3101 0.2726 0.1667
Cr 0.8411 0.2437 0.6667

Summary:
**Mass density**: 12.20 g/cm³
**Energy relative to the elements**: -366 meV per atom

***

So what do the calculations give for offset from the most stable computed form? Going down the list: 0.118; 1.364; 0.015 eV/f.u..